1.
Entry from Alexandria: an optimized crystal structure of Pa3TiTl3Te8 (PBE).

E_tot, Ry per atom: -0.3830
Formation energy without anion corrections, eV per atom: -0.64
Spin magnetization, μB/f.u.: 6.0

Cell lengths 8.4613, 8.4608, 9.9100 Å; angles 115.27, 90.00, 120.00 degrees
Site moments in Bohr magnetons follow the coordinates.
Sites, in units of the cell vectors:
Te: 0.2471 0.0199 0.2927  -0.04
Te: 0.2272 0.4544 0.7073  -0.04
Te: 0.7728 0.5456 0.2927  -0.04
Te: 0.7728 0.0199 0.2927  -0.04
Te: 0.2272 0.9801 0.7073  -0.04
Te: 0.7408 0.4817 0.7225  -0.03
Te: 0.7529 0.9801 0.7073  -0.04
Te: 0.2592 0.5183 0.2775  -0.03
Tl: 0.5000 0.5000 0.0000  0.01
Tl: 0.0000 0.5000 0.0000  0.01
Tl: 0.0000 0.0000 0.0000  0.01
Ti: 0.0000 0.0000 0.5000  1.19
Pa: 0.0000 0.5000 0.5000  1.27
Pa: 0.5000 0.5000 0.5000  1.27
Pa: 0.5000 0.0000 0.5000  1.27

2.
Entry from Alexandria: an optimized crystal structure of Pa3Tl2Te6 (PBE).

E_tot, Ry per atom: -0.3971
Formation energy without anion corrections, eV per atom: -0.67
Spin magnetization, μB/f.u.: 5.0

Cell lengths 7.4076, 7.4074, 8.9507 Å; angles 82.01, 73.85, 60.00 degrees
Site moments in Bohr magnetons follow the coordinates.
Sites, in units of the cell vectors:
Pa: 0.0000 0.0000 0.0000  1.34
Pa: 0.3309 0.3383 0.0000  1.34
Pa: 0.6691 0.6617 0.0000  1.34
Te: 0.2634 0.0000 0.2173  -0.04
Te: 0.5924 0.3300 0.2210  -0.03
Te: 0.9224 0.6700 0.2210  -0.03
Te: 0.0776 0.3300 0.7790  -0.03
Te: 0.7366 0.0000 0.7827  -0.04
Te: 0.4076 0.6700 0.7790  -0.03
Tl: 0.8341 0.3317 0.5000  0.00
Tl: 0.1659 0.6683 0.5000  0.00

3.
Entry from Alexandria: an optimized crystal structure of PaTl2Te4 (PBE).

E_tot, Ry per atom: -0.3158
Excess energy over the best structure of this formula in the dataset, meV/atom: 0
Formation energy without anion corrections, eV per atom: -0.47
Spin magnetization, μB/f.u.: 0.0

Cell lengths 9.6089, 9.6089, 12.6385 Å; angles 90.00, 90.00, 90.00 degrees
Sites, in units of the cell vectors:
Te: 0.9700 0.2282 0.2394
Te: 0.0300 0.7718 0.7394
Te: 0.2282 0.9700 0.5106
Te: 0.2282 0.0300 0.9894
Te: 0.2201 0.4613 0.0210
Te: 0.9700 0.7718 0.2606
Te: 0.4613 0.2201 0.7290
Te: 0.7799 0.4613 0.9790
Te: 0.5387 0.2201 0.2710
Te: 0.7718 0.0300 0.0106
Te: 0.4613 0.7799 0.7710
Te: 0.7799 0.5387 0.5210
Te: 0.5387 0.7799 0.2290
Te: 0.0300 0.2282 0.7606
Te: 0.2201 0.5387 0.4790
Te: 0.7718 0.9700 0.4894
Tl: 0.2465 0.2465 0.3750
Tl: 0.5000 0.2583 0.0000
Tl: 0.2465 0.7535 0.1250
Tl: 0.7535 0.2465 0.6250
Tl: 0.2583 0.5000 0.7500
Tl: 0.7417 0.5000 0.2500
Tl: 0.7535 0.7535 0.8750
Tl: 0.5000 0.7417 0.5000
Pa: 0.0000 0.2502 0.0000
Pa: 0.7498 0.0000 0.2500
Pa: 0.0000 0.7498 0.5000
Pa: 0.2502 0.0000 0.7500

4.
Entry from Alexandria: an optimized crystal structure of Pa2Tl2Te5 (PBE).

E_tot, Ry per atom: -0.3730
Formation energy without anion corrections, eV per atom: -0.69
Spin magnetization, μB/f.u.: 2.0

Cell lengths 8.4232, 8.4127, 9.5400 Å; angles 116.16, 90.00, 90.00 degrees
Site moments in Bohr magnetons follow the coordinates.
Sites, in units of the cell vectors:
Te: 0.1495 0.2324 0.7641  -0.04
Te: 0.1495 0.4683 0.2359  -0.04
Te: 0.5000 0.5000 0.0000  -0.04
Te: 0.8505 0.7676 0.2359  -0.04
Te: 0.3505 0.7324 0.7641  -0.04
Te: 0.0000 0.0000 0.0000  -0.04
Te: 0.8505 0.5317 0.7641  -0.04
Te: 0.6495 0.2676 0.2359  -0.04
Te: 0.6495 0.0317 0.7641  -0.04
Te: 0.3505 0.9683 0.2359  -0.04
Tl: 0.0000 0.2008 0.4016  0.00
Tl: 0.5000 0.2992 0.5984  0.00
Tl: 0.0000 0.7992 0.5984  0.00
Tl: 0.5000 0.7008 0.4016  0.00
Pa: 0.8499 0.3499 0.0000  0.98
Pa: 0.3499 0.1501 0.0000  0.98
Pa: 0.1501 0.6501 0.0000  0.98
Pa: 0.6501 0.8499 0.0000  0.98

5.
Entry from Alexandria: an optimized crystal structure of Pa4TlTe8 (PBE).

E_tot, Ry per atom: -0.4194
Formation energy without anion corrections, eV per atom: -0.67
Spin magnetization, μB/f.u.: 5.0

Cell lengths 9.1121, 9.1121, 9.1121 Å; angles 60.00, 60.00, 60.00 degrees
Site moments in Bohr magnetons follow the coordinates.
Sites, in units of the cell vectors:
Te: 0.6104 0.6104 0.6104  -0.04
Te: 0.6087 0.1304 0.1304  -0.04
Te: 0.1304 0.1304 0.6087  -0.04
Te: 0.1304 0.1304 0.1304  -0.04
Te: 0.6104 0.6104 0.1689  -0.04
Te: 0.1304 0.6087 0.1304  -0.04
Te: 0.6104 0.1689 0.6104  -0.04
Te: 0.1689 0.6104 0.6104  -0.04
Pa: 0.3705 0.8885 0.3705  1.16
Pa: 0.3705 0.3705 0.8885  1.16
Pa: 0.3705 0.3705 0.3705  1.16
Pa: 0.8885 0.3705 0.3705  1.16
Tl: 0.7500 0.7500 0.7500  -0.01

6.
Entry from Alexandria: an optimized crystal structure of PaTlTe3 (PBE).

E_tot, Ry per atom: -0.3574
Excess energy over the best structure of this formula in the dataset, meV/atom: 52
Formation energy without anion corrections, eV per atom: -0.61
Spin magnetization, μB/f.u.: 0.0

Cell lengths 4.4865, 7.7258, 12.3448 Å; angles 72.02, 90.01, 73.09 degrees
Sites, in units of the cell vectors:
Tl: 0.8179 0.7553 0.7981
Tl: 0.9980 0.3922 0.5853
Te: 0.3064 0.7772 0.0312
Te: 0.2424 0.9056 0.5887
Te: 0.5735 0.2420 0.7947
Te: 0.5094 0.3703 0.3522
Te: 0.0480 0.2932 0.0818
Te: 0.7678 0.8543 0.3015
Pa: 0.1419 0.1058 0.3467
Pa: 0.6740 0.0417 0.0366

7.
Entry from Alexandria: an optimized crystal structure of Pa2TlTe (PBE).

E_tot, Ry per atom: -0.4521
Excess energy over the best structure of this formula in the dataset, meV/atom: 124
Formation energy without anion corrections, eV per atom: -0.03
Spin magnetization, μB/f.u.: 0.0

Cell lengths 4.4518, 4.4518, 7.3485 Å; angles 72.37, 72.37, 60.00 degrees
Sites, in units of the cell vectors:
Te: 0.5000 0.5000 0.5000
Pa: 0.2490 0.2490 0.2531
Pa: 0.7510 0.7510 0.7469
Tl: 0.0000 0.0000 0.0000

8.
Entry from Alexandria: an optimized crystal structure of PaTlTe3 (PBE).

E_tot, Ry per atom: -0.3542
Excess energy over the best structure of this formula in the dataset, meV/atom: 95
Formation energy without anion corrections, eV per atom: -0.56
Spin magnetization, μB/f.u.: 0.2

Cell lengths 5.9105, 5.9105, 5.9105 Å; angles 90.00, 90.00, 90.00 degrees
Site moments in Bohr magnetons follow the coordinates.
Sites, in units of the cell vectors:
Te: 0.0000 0.0000 0.5000  -0.02
Te: 0.0000 0.5000 0.0000  -0.02
Te: 0.5000 0.0000 0.0000  -0.02
Pa: 0.0000 0.0000 0.0000  0.25
Tl: 0.5000 0.5000 0.5000  0.00